Entry from Alexandria: a geometry-optimized Ho5GeBi4 structure (PBE-GGA).

DFT total energy in eV per atom: -5.10
E_form in meV/atom: -794
Crystal system: tetragonal
D(E_F) in states/eV/cell: 3.41
Volume in Å³ per cell: 300.9
Theoretical density in Mg/m³: 9.56

Cell lengths 7.6171, 7.6171, 7.6171 Å; angles 99.62, 99.62, 131.74 degrees
Closest atoms and distances in Å follow each position.
Fractional positions:
Ho 0.0000 0.0000 0.0000  2 Ge 3.11, 4 Bi 3.13
Ho 0.2190 0.5976 0.8166  1 Ge 2.92, 5 Bi 3.12-3.21
Ho 0.4024 0.2190 0.6214  1 Ge 2.92, 5 Bi 3.12-3.21
Ho 0.5976 0.7810 0.3786  1 Ge 2.92, 5 Bi 3.12-3.21
Ho 0.7810 0.4024 0.1834  1 Ge 2.92, 5 Bi 3.12-3.21
Ge 0.5000 0.5000 0.0000  6 Ho 2.92-3.11
Bi 0.0925 0.3044 0.3970  6 Ho 3.12-3.21
Bi 0.3044 0.9075 0.2119  6 Ho 3.12-3.21
Bi 0.6956 0.0925 0.7881  6 Ho 3.12-3.21
Bi 0.9075 0.6956 0.6030  6 Ho 3.12-3.21